First-principles (PBE-GGA) data for a relaxed structure of Sb2AsIr, as listed in the Alexandria database.

The symmetry is Fm-3m, No. 225. For the energy relative to the elements, uncorrected, the calculation gives 0.41 eV/atom. Its electronic total energy is -5.03 eV/atom.

a b c (Å): 4.8745 4.8745 4.8745
angles (deg): 60.00 60.00 60.00
Element x y z (fractional)
Sb 0.2500 0.2500 0.2500
Sb 0.7500 0.7500 0.7500
As 0.0000 0.0000 0.0000
Ir 0.5000 0.5000 0.5000